[1]
Here is crystalline CrRu2W at its relaxed geometry from Alexandria via LeMat-Bulk. Energies are from PBE-GGA.

It has space group P4/mmm (No. 123), with a = 2.777 Å, b = 2.777 Å, c = 7.262 Å, α = 90.00°, β = 90.00° and γ = 90.00°. Symmetry generates all atoms from Cr at (0.000, 0.000, 0.000), Ru at (0.500, 0.500, 0.229) and W at (0.000, 0.000, 0.500).

The formation energy is 0.08 eV/atom. The calculation puts the density of states at the Fermi level at 1.050 states/eV per atom. For the total magnetic moment, the calculation gives 0.000 μB/f.u.


[2]
Here is crystalline TbNdYTl at its relaxed geometry from Alexandria via LeMat-Bulk. Energies are from PBE-GGA.

It has space group Pmmm (No. 47), with a = 4.859 Å, b = 4.897 Å, c = 4.988 Å, α = 90.00°, β = 90.00° and γ = 90.00°. Symmetry generates all atoms from Tb at (0.000, 0.000, 0.000), Nd at (0.500, 0.500, 0.000), Y at (0.000, 0.500, 0.500) and Tl at (0.500, 0.000, 0.500).

The formation energy is -0.19 eV/atom. The calculation puts the density of states at the Fermi level at 1.465 states/eV per atom. For the total magnetic moment, the calculation gives 0.522 μB/f.u.


[3]
Here is crystalline MoIrOs3 at its relaxed geometry from Alexandria via LeMat-Bulk. Energies are from PBE-GGA.

It has space group Pm-3m (No. 221), with a = 4.611 Å, b = 4.611 Å, c = 4.611 Å, α = 90.00°, β = 90.00° and γ = 90.00°. Symmetry generates all atoms from Mo at (0.000, 0.000, 0.000), Ir at (0.500, 0.500, 0.500) and Os at (0.000, 0.000, 0.500).

The formation energy is 2.56 eV/atom. The calculation puts the density of states at the Fermi level at 1.925 states/eV per atom. For the total magnetic moment, the calculation gives 1.564 μB/f.u.


Look up the total magnetic moment of the third one. 1.564 μB/f.u.


Which value of formation energy does entry 1 give? 0.08 eV/atom


What is the formation energy in the third record? 2.56 eV/atom


Which value of total magnetic moment does entry 3 give? 1.564 μB/f.u.